Computed, not measured: a geometry-optimized KNdCrF6 structure at the PBE+U level of DFT.

a b c (Å): 6.0460 6.0460 10.6327
angles (deg): 90.00 90.00 120.00
Fractional coordinates of all 18 atoms:
F  0.3606  0.3797  0.8566
Cr  0.3333  0.6667  0.7500
F  0.0191  0.3797  0.6434
F  0.9809  0.3606  0.1434
F  0.3797  0.0191  0.1434
Cr  0.6667  0.3333  0.2500
F  0.6394  0.0191  0.3566
F  0.6394  0.6203  0.1434
Nd  0.3333  0.6667  0.2500
F  0.6203  0.6394  0.6434
F  0.3606  0.9809  0.6434
F  0.6203  0.9809  0.8566
F  0.0191  0.6394  0.8566
K  0.0000  0.0000  0.0000
F  0.3797  0.3606  0.3566
Nd  0.6667  0.3333  0.7500
K  0.0000  0.0000  0.5000
F  0.9809  0.6203  0.3566

## Properties
VASP energy (eV/atom): -5.89
Symmetry: P-31c, No. 163
Total magnetic moment (μB/atom): 0.444
Crystal system: trigonal